[1]
A relaxed structure of Pm5YHg4, computed with PBE.

a b c (Å): 3.7809 3.7809 20.2727
angles (deg): 90.00 90.00 90.00
Last column: nearest neighbours and their distance in Å.
Fractional positions:
Pm 0.0000 0.0000 0.0000  8 Hg 3.30
Pm 0.0000 0.0000 0.1892  8 Hg 3.28-3.33
Pm 0.0000 0.0000 0.3793  4 Hg 3.27, 4 Y 3.62
Pm 0.0000 0.0000 0.6207  4 Hg 3.27, 4 Y 3.62
Pm 0.0000 0.0000 0.8108  8 Hg 3.28-3.33
Y 0.5000 0.5000 0.5000  8 Pm 3.62, 4 Y 3.78
Hg 0.5000 0.5000 0.0951  8 Pm 3.28-3.30
Hg 0.5000 0.5000 0.2868  8 Pm 3.27-3.33
Hg 0.5000 0.5000 0.7132  8 Pm 3.27-3.33
Hg 0.5000 0.5000 0.9049  8 Pm 3.28-3.30

Calculated values
The calculation puts the magnetic moment at 1.3 μB per formula unit. As for the formation energy: -0.3674 eV/atom.



[2]
A relaxed structure of Pm4YHg2, computed with PBE.

a b c (Å): 10.5324 10.5324 10.5324
angles (deg): 28.76 28.76 28.76
Last column: nearest neighbours and their distance in Å.
Fractional positions:
Pm 0.1095 0.1095 0.1095  3 Hg 3.30, 3 Y 3.48
Pm 0.2947 0.2947 0.2947  4 Hg 3.13-3.17
Pm 0.7053 0.7053 0.7053  4 Hg 3.13-3.17
Pm 0.8905 0.8905 0.8905  3 Hg 3.30, 3 Y 3.48
Y 0.5000 0.5000 0.5000  2 Hg 3.05
Hg 0.3993 0.3993 0.3993  1 Y 3.05, 7 Pm 3.13-3.30
Hg 0.6007 0.6007 0.6007  1 Y 3.05, 7 Pm 3.13-3.30

Calculated values
The calculation puts the magnetic moment at 1.3 μB per formula unit. As for the formation energy: 0.0418 eV/atom.



[3]
A relaxed structure of PmY2Hg, computed with PBE.

a b c (Å): 3.6819 3.6819 31.6371
angles (deg): 90.00 90.00 120.00
Last column: nearest neighbours and their distance in Å.
Fractional positions:
Pm 0.0000 0.0000 0.0000  6 Y 3.61-3.62, 6 Pm 3.68
Pm 0.3333 0.6667 0.6667  6 Y 3.61-3.62, 6 Pm 3.68
Pm 0.6667 0.3333 0.3333  6 Y 3.61-3.62, 6 Pm 3.68
Y 0.0000 0.0000 0.5742  3 Hg 3.18
Y 0.0000 0.0000 0.7588  3 Hg 3.17
Y 0.3333 0.6667 0.2409  3 Hg 3.18
Y 0.3333 0.6667 0.4255  3 Hg 3.17
Y 0.6667 0.3333 0.0922  3 Hg 3.17
Y 0.6667 0.3333 0.9076  3 Hg 3.18
Hg 0.0000 0.0000 0.1663  6 Y 3.17-3.18
Hg 0.3333 0.6667 0.8330  6 Y 3.17-3.18
Hg 0.6667 0.3333 0.4996  6 Y 3.17-3.18

Calculated values
For the energy above the most stable polymorph in this dataset, the calculation gives 76.7 meV/atom. The calculation puts the magnetic moment at 0.0 μB per formula unit. As for the formation energy: -0.1662 eV/atom.



[4]
A relaxed structure of PmY2Hg, computed with PBE.

a b c (Å): 6.9811 10.3062 6.7849
angles (deg): 90.00 90.00 90.00
Last column: nearest neighbours and their distance in Å.
Fractional positions:
Pm 0.0138 0.2500 0.1191  2 Hg 3.12-3.17
Pm 0.4862 0.7500 0.6191  2 Hg 3.12-3.17
Pm 0.5138 0.2500 0.3809  2 Hg 3.12-3.17
Pm 0.9862 0.7500 0.8809  2 Hg 3.12-3.17
Y 0.1914 0.5397 0.3192  2 Hg 3.06-3.11
Y 0.1914 0.9603 0.3192  2 Hg 3.06-3.11
Y 0.3086 0.0397 0.8192  2 Hg 3.06-3.11
Y 0.3086 0.4603 0.8192  2 Hg 3.06-3.11
Y 0.6914 0.5397 0.1808  2 Hg 3.06-3.11
Y 0.6914 0.9603 0.1808  2 Hg 3.06-3.11
Y 0.8086 0.0397 0.6808  2 Hg 3.06-3.11
Y 0.8086 0.4603 0.6808  2 Hg 3.06-3.11
Hg 0.0989 0.2500 0.5698  4 Y 3.06-3.11, 2 Pm 3.12-3.17
Hg 0.4011 0.7500 0.0698  4 Y 3.06-3.11, 2 Pm 3.12-3.17
Hg 0.5989 0.2500 0.9302  4 Y 3.06-3.11, 2 Pm 3.12-3.17
Hg 0.9011 0.7500 0.4302  4 Y 3.06-3.11, 2 Pm 3.12-3.17

Calculated values
For the energy above the most stable polymorph in this dataset, the calculation gives 15.1 meV/atom. The calculation puts the magnetic moment at 0.0 μB per formula unit. As for the formation energy: -0.2278 eV/atom.